VHg2Ir | PBE-GGA | optimized geometry

Values from the calculation:
* E above lowest polymorph: 0.0 meV/atom
* volume: 17.700 A^3/atom
* crystal system: cubic
* D(E_F): 1.97 states/eV/atom
* total magnetic moment: 2.18 μB per formula unit
* ΔE_f: 0.479 eV per atom
* energy: -4.1666 eV per atom

Structure (extended XYZ):
```
4
Lattice="0.000 3.283 3.283 3.283 0.000 3.283 3.283 3.283 0.000" Properties=species:S:1:pos:R:3 pbc="T T T"
V 0.000 0.000 0.000
Hg 1.642 1.642 1.642
Hg 4.925 4.925 4.925
Ir 3.283 3.283 3.283
```

***

V2HgIr2 | PBE-GGA | optimized geometry

Values from the calculation:
* E above lowest polymorph: 155.0 meV/atom
* volume: 17.484 A^3/atom
* crystal system: tetragonal
* D(E_F): 0.65 states/eV/atom
* total magnetic moment: 0.03 μB per formula unit
* ΔE_f: -0.068 eV per atom
* energy: -7.3203 eV per atom

Structure (extended XYZ):
```
5
Lattice="-2.063 2.063 5.137 2.063 -2.063 5.137 2.063 2.063 -5.137" Properties=species:S:1:pos:R:3 pbc="T T T"
V 2.063 0.000 2.569
V 0.000 2.063 2.569
Hg 0.000 0.000 0.000
Ir 0.000 0.000 3.866
Ir 0.000 0.000 6.408
```

***

VHgIr3 | PBE-GGA | optimized geometry

Values from the calculation:
* E above lowest polymorph: 1331.8 meV/atom
* volume: 23.484 A^3/atom
* crystal system: cubic
* D(E_F): 1.90 states/eV/atom
* total magnetic moment: 0.56 μB per formula unit
* ΔE_f: 2.455 eV per atom
* energy: -4.7458 eV per atom

Structure (extended XYZ):
```
5
Lattice="4.897 0.000 0.000 0.000 4.897 0.000 0.000 0.000 4.897" Properties=species:S:1:pos:R:3 pbc="T T T"
V 0.000 0.000 0.000
Hg 2.448 2.448 2.448
Ir 0.000 2.448 2.448
Ir 2.448 0.000 2.448
Ir 2.448 2.448 0.000
```

***

V2HgIr2 | PBE-GGA | optimized geometry

Values from the calculation:
* E above lowest polymorph: 106.1 meV/atom
* volume: 15.900 A^3/atom
* crystal system: tetragonal
* D(E_F): 0.80 states/eV/atom
* total magnetic moment: 0.00 μB per formula unit
* ΔE_f: -0.117 eV per atom
* energy: -7.3692 eV per atom

Structure (extended XYZ):
```
10
Lattice="7.571 0.000 0.000 0.000 7.571 0.000 0.000 0.000 2.774" Properties=species:S:1:pos:R:3 pbc="T T T"
V 1.136 2.650 0.000
V 2.650 6.436 0.000
V 4.921 1.136 0.000
V 6.436 4.921 0.000
Hg 0.000 0.000 0.000
Hg 3.786 3.786 0.000
Ir 1.045 4.831 1.387
Ir 2.741 1.045 1.387
Ir 4.831 6.526 1.387
Ir 6.526 2.741 1.387
```

***

V2HgIr | PBE-GGA | optimized geometry

Values from the calculation:
* volume: 17.362 A^3/atom
* crystal system: tetragonal
* D(E_F): 1.41 states/eV/atom
* total magnetic moment: 0.00 μB per formula unit
* ΔE_f: 0.429 eV per atom
* energy: -6.4206 eV per atom

Structure (extended XYZ):
```
8
Lattice="-3.594 3.594 2.688 3.594 -3.594 2.688 3.594 3.594 -2.688" Properties=species:S:1:pos:R:3 pbc="T T T"
V 5.391 1.461 -0.672
V 1.461 1.797 0.672
V -1.797 2.133 2.016
V 2.133 1.797 3.360
Hg 3.594 0.000 1.344
Hg 0.000 0.000 2.688
Ir 0.000 0.000 0.000
Ir 0.000 3.594 1.344
```

***

VHgIr3 | PBE-GGA | optimized geometry

Values from the calculation:
* E above lowest polymorph: 0.0 meV/atom
* volume: 19.018 A^3/atom
* crystal system: cubic
* D(E_F): 0.59 states/eV/atom
* total magnetic moment: 0.00 μB per formula unit
* ΔE_f: 1.123 eV per atom
* energy: -6.0776 eV per atom

Structure (extended XYZ):
```
5
Lattice="4.564 0.000 0.000 0.000 4.564 0.000 0.000 0.000 4.564" Properties=species:S:1:pos:R:3 pbc="T T T"
V 0.000 0.000 0.000
Hg 2.282 2.282 2.282
Ir 0.000 0.000 2.282
Ir 0.000 2.282 0.000
Ir 2.282 0.000 0.000
```

***

Hg2IrW | PBE-GGA | optimized geometry

Values from the calculation:
* E above lowest polymorph: 611.2 meV/atom
* volume: 18.116 A^3/atom
* crystal system: tetragonal
* D(E_F): 0.99 states/eV/atom
* total magnetic moment: 0.00 μB per formula unit
* ΔE_f: 0.861 eV per atom
* energy: -4.7437 eV per atom

Structure (extended XYZ):
```
4
Lattice="3.972 0.000 0.000 0.000 3.972 0.000 0.000 0.000 4.593" Properties=species:S:1:pos:R:3 pbc="T T T"
Hg 0.000 1.986 0.000
Hg 1.986 0.000 0.000
Ir 0.000 0.000 2.296
W 1.986 1.986 2.296
```

***

Hg2IrW | PBE-GGA | optimized geometry

Values from the calculation:
* E above lowest polymorph: 342.1 meV/atom
* volume: 19.384 A^3/atom
* crystal system: orthorhombic
* D(E_F): 0.56 states/eV/atom
* total magnetic moment: 0.00 μB per formula unit
* ΔE_f: 0.592 eV per atom
* energy: -5.0128 eV per atom

Structure (extended XYZ):
```
4
Lattice="-1.420 2.450 5.574 1.420 -2.450 5.574 1.420 2.450 -5.574" Properties=species:S:1:pos:R:3 pbc="T T T"
Hg 0.000 0.000 0.000
Hg 0.000 2.450 2.205
Ir 1.420 0.000 2.890
W 0.000 0.000 4.986
```

***

HgIrW3 | PBE-GGA | optimized geometry

Values from the calculation:
* E above lowest polymorph: 1437.3 meV/atom
* volume: 22.335 A^3/atom
* crystal system: cubic
* D(E_F): 1.92 states/eV/atom
* total magnetic moment: 0.00 μB per formula unit
* ΔE_f: 3.334 eV per atom
* energy: -6.2705 eV per atom

Structure (extended XYZ):
```
5
Lattice="4.816 0.000 0.000 0.000 4.816 0.000 0.000 0.000 4.816" Properties=species:S:1:pos:R:3 pbc="T T T"
Hg 0.000 0.000 0.000
Ir 2.408 2.408 2.408
W 0.000 0.000 2.408
W 0.000 2.408 0.000
W 2.408 0.000 0.000
```

***

Hg2IrW | PBE-GGA | optimized geometry

Values from the calculation:
* E above lowest polymorph: 459.6 meV/atom
* volume: 18.052 A^3/atom
* crystal system: orthorhombic
* D(E_F): 0.55 states/eV/atom
* total magnetic moment: 0.00 μB per formula unit
* ΔE_f: 0.709 eV per atom
* energy: -4.8953 eV per atom

Structure (extended XYZ):
```
4
Lattice="2.935 0.000 0.000 0.000 4.931 0.000 0.000 0.000 4.989" Properties=species:S:1:pos:R:3 pbc="T T T"
Hg 0.000 0.000 0.000
Hg 1.468 2.465 0.000
Ir 0.000 2.465 2.495
W 1.468 0.000 2.495
```

***

Hg3IrW | PBE-GGA | optimized geometry

Values from the calculation:
* volume: 28.083 A^3/atom
* crystal system: cubic
* D(E_F): 0.57 states/eV/atom
* total magnetic moment: 5.24 μB per formula unit
* ΔE_f: 1.593 eV per atom
* energy: -2.9514 eV per atom

Structure (extended XYZ):
```
5
Lattice="5.198 0.000 0.000 0.000 5.198 0.000 0.000 0.000 5.198" Properties=species:S:1:pos:R:3 pbc="T T T"
Hg 0.000 0.000 2.599
Hg 0.000 2.599 0.000
Hg 2.599 0.000 0.000
Ir 0.000 0.000 0.000
W 2.599 2.599 2.599
```

***

HgIr2W2 | PBE-GGA | optimized geometry

Values from the calculation:
* volume: 16.930 A^3/atom
* crystal system: tetragonal
* D(E_F): 0.46 states/eV/atom
* total magnetic moment: 0.00 μB per formula unit
* ΔE_f: 0.113 eV per atom
* energy: -8.6728 eV per atom

Structure (extended XYZ):
```
10
Lattice="7.789 0.000 0.000 0.000 7.789 0.000 0.000 0.000 2.791" Properties=species:S:1:pos:R:3 pbc="T T T"
Hg 0.000 0.000 0.000
Hg 3.894 3.894 0.000
Ir 0.991 2.904 0.000
Ir 2.904 6.798 0.000
Ir 4.885 0.991 0.000
Ir 6.798 4.885 0.000
W 1.277 5.172 1.395
W 2.617 1.277 1.395
W 5.172 6.512 1.395
W 6.512 2.617 1.395
```